Entry 1:
Computed, not measured: a relaxed structure of TaBeSb2 at the PBE level of DFT.

Cell and atoms, written as POSCAR:
```
TaBeSb2
1.0
-1.8178 2.4965 4.1193
1.8178 -2.4965 4.1193
1.8178 2.4965 -4.1193
Ta Be Sb
1 1 2
Direct
0.0000 0.0000 0.0000 Ta
0.5000 0.5000 0.0000 Be
0.2863 0.7863 0.5000 Sb
0.7137 0.2137 0.5000 Sb
```

## Properties
As for the density of states at the Fermi level: 0.553 states/eV per atom. For the uncorrected formation energy, the calculation gives 330 meV/atom. Its symmetry is Immm, No. 71. The density comes out at 9.63 Mg/m³.

---

Entry 2:
Computed, not measured: a relaxed structure of Ba5Tl4Pb at the PBE level of DFT.

Cell and atoms, written as POSCAR:
```
Ba5Tl4Pb
1.0
4.2772 0.0000 0.0000
0.0000 4.2772 0.0000
0.0000 0.0000 21.8673
Ba Tl Pb
5 4 1
Direct
0.0000 0.0000 0.0000 Ba
0.0000 0.0000 0.1977 Ba
0.0000 0.0000 0.3981 Ba
0.0000 0.0000 0.6019 Ba
0.0000 0.0000 0.8023 Ba
0.5000 0.5000 0.1019 Tl
0.5000 0.5000 0.2931 Tl
0.5000 0.5000 0.7069 Tl
0.5000 0.5000 0.8981 Tl
0.5000 0.5000 0.5000 Pb
```

## Properties
As for the density of states at the Fermi level: 0.827 states/eV per atom. The formation energy is -0.4217 eV/atom. Its symmetry is P4/mmm, No. 123. The density comes out at 7.10 Mg/m³.

---

Entry 3:
Computed, not measured: a relaxed structure of ZrMn2Ag at the PBE level of DFT.

Cell and atoms, written as POSCAR:
```
ZrMn2Ag
1.0
3.3258 0.0000 0.0000
0.0000 3.3258 0.0000
0.0000 0.0000 6.0779
Zr Mn Ag
1 2 1
Direct
0.0000 0.0000 0.0000 Zr
0.5000 0.5000 0.2467 Mn
0.5000 0.5000 0.7533 Mn
0.0000 0.0000 0.5000 Ag
```

## Properties
Its energy above the most stable polymorph in this dataset is 109 meV per atom. As for the density of states at the Fermi level: 0.894 states/eV per atom. The formation energy is 0.1963 eV/atom. Its symmetry is P4/mmm, No. 123. The density comes out at 7.63 Mg/m³.

---

Entry 4:
Computed, not measured: a relaxed structure of La3Ce4Se8 at the PBE level of DFT.

Cell and atoms, written as POSCAR:
```
La3Ce4Se8
1.0
6.0177 -6.0192 0.0000
6.0177 6.0192 0.0000
-5.9772 0.0000 6.0202
La Ce Se
3 4 8
Direct
0.0000 0.0000 0.0000 La
0.0000 0.5000 0.5000 La
0.5000 0.0000 0.5000 La
0.0000 0.5000 0.0000 Ce
0.5000 0.0000 0.0000 Ce
0.5000 0.5000 0.0000 Ce
0.5000 0.5000 0.5000 Ce
0.2504 0.7496 0.5000 Se
0.2517 0.2517 0.9992 Se
0.2520 0.7480 0.0000 Se
0.2526 0.2526 0.5044 Se
0.7474 0.7474 0.4956 Se
0.7480 0.2520 0.0000 Se
0.7483 0.7483 0.0008 Se
0.7496 0.2504 0.5000 Se
```

## Properties
As for the density of states at the Fermi level: 1.831 states/eV per atom. For the uncorrected formation energy, the calculation gives -1893 meV/atom. Its symmetry is C2/m, No. 12. The density comes out at 6.13 Mg/m³.

---

Entry 5:
Computed, not measured: a relaxed structure of KNpCrN3 at the PBE level of DFT.

Cell and atoms, written as POSCAR:
```
KNpCrN3
1.0
6.4659 -1.8586 0.0000
6.4659 1.8586 0.0000
-1.8469 0.0000 7.4777
K Np Cr N
2 2 2 6
Direct
0.1406 0.1406 0.0617 K
0.8594 0.8594 0.9383 K
0.1510 0.1510 0.5739 Np
0.8490 0.8490 0.4261 Np
0.4942 0.4942 0.6905 Cr
0.5058 0.5058 0.3095 Cr
0.0077 0.0077 0.3193 N
0.3304 0.3304 0.6032 N
0.3519 0.3519 0.2572 N
0.6481 0.6481 0.7428 N
0.6696 0.6696 0.3968 N
0.9923 0.9923 0.6807 N
```

## Properties
As for the density of states at the Fermi level: 0.802 states/eV per atom. For the uncorrected formation energy, the calculation gives -625 meV/atom. Its symmetry is C2/m, No. 12. The density comes out at 6.84 Mg/m³.

---

Entry 6:
Computed, not measured: a relaxed structure of CePmLuZn at the PBE level of DFT.

Cell and atoms, written as POSCAR:
```
CePmLuZn
1.0
0.0000 3.7804 3.7804
3.7804 0.0000 3.7804
3.7804 3.7804 0.0000
Ce Pm Lu Zn
1 1 1 1
Direct
0.0000 0.0000 0.0000 Ce
0.5000 0.5000 0.5000 Pm
0.2500 0.2500 0.2500 Lu
0.7500 0.7500 0.7500 Zn
```

## Properties
As for the density of states at the Fermi level: 1.556 states/eV per atom. The formation energy is 0.0493 eV/atom. Its symmetry is F-43m, No. 216. The density comes out at 8.08 Mg/m³.